No. 1
Below is an optimized crystal structure of TlPdRu2Au, with properties calculated at the GGA-PBE level.

The space group is P4/mmm (No. 123) and the conventional cell measures 4.922, 4.922 and 5.018 Å, with angles of 90.00, 90.00 and 90.00 degrees. The distinct sites, in fractional coordinates, are Tl at (0.000, 0.000, 0.000), Pd at (0.500, 0.500, 0.000), Ru at (0.000, 0.500, 0.500) and Au at (0.500, 0.500, 0.500).

The calculation puts the total magnetization at 3.80 μB per formula unit. For the formation enthalpy at 0 K, the calculation gives 1.55 eV/atom.

---

No. 2
Below is an optimized crystal structure of Sr2TaTl, with properties calculated at the GGA-PBE level.

The space group is I-42d (No. 122) and the conventional cell measures 4.560, 4.560 and 23.282 Å, with angles of 90.00, 90.00 and 90.00 degrees. The distinct sites, in fractional coordinates, are Sr at (0.249, 0.250, 0.125), Ta at (0.000, 0.000, 0.500) and Tl at (0.000, 0.000, 0.000).

The value obtained for the offset from the most stable computed form is 480.9 meV/atom. The calculation puts the total magnetization at 0.00 μB per formula unit. For the formation enthalpy at 0 K, the calculation gives 1.01 eV/atom.